Material: LaPm7Pr5
Method: DFT, PBE-GGA
State: optimized geometry

## Properties
Total energy in eV per atom: -4.557
N(E_F) in states/eV per atom: 1.782
Magnetization in μB per atom: 0.000

```
data_LaPm7Pr5
_chemical_formula_sum 'La2 Pm14 Pr10'
_symmetry_space_group_name_H-M 'I m m 2'
_symmetry_Int_Tables_number 44
_cell_length_a 6.8911
_cell_length_b 11.4197
_cell_length_c 12.0001
_cell_angle_alpha 90.00
_cell_angle_beta 90.00
_cell_angle_gamma 90.00
loop_
_symmetry_equiv_pos_as_xyz
'x,y,z'
'-x,-y,z'
'-x,y,z'
'x,-y,z'
'x+1/2,y+1/2,z+1/2'
'-x+1/2,-y+1/2,z+1/2'
'-x+1/2,y+1/2,z+1/2'
'x+1/2,-y+1/2,z+1/2'
loop_
_atom_site_label
_atom_site_type_symbol
_atom_site_fract_x
_atom_site_fract_y
_atom_site_fract_z
La1 La 0.0000 0.0000 0.0000
Pm1 Pm 0.0000 0.0000 0.3057
Pm2 Pm 0.0000 0.0000 0.6055
Pm3 Pm 0.0000 0.3248 0.0445
Pm4 Pm 0.0000 0.3310 0.5445
Pm5 Pm 0.0000 0.5000 0.7859
Pr1 Pr 0.0000 0.5000 0.2671
Pr2 Pr 0.2313 0.2306 0.8034
```

***

Material: La4Pm5Pr2
Method: DFT, PBE-GGA
State: optimized geometry

## Properties
E above lowest polymorph in meV/atom: 0.0
N(E_F) in states/eV per atom: 1.561
Magnetization in μB per atom: 0.000

```
data_La4Pm5Pr2
_chemical_formula_sum 'La8 Pm10 Pr4'
_symmetry_space_group_name_H-M 'C 1 2/m 1'
_symmetry_Int_Tables_number 12
_cell_length_a 18.1906
_cell_length_b 3.6150
_cell_length_c 12.0145
_cell_angle_alpha 90.00
_cell_angle_beta 94.63
_cell_angle_gamma 90.00
loop_
_symmetry_equiv_pos_as_xyz
'x,y,z'
'-x,-y,-z'
'-x,y,-z'
'x,-y,z'
'x+1/2,y+1/2,z'
'-x+1/2,-y+1/2,-z'
'-x+1/2,y+1/2,-z'
'x+1/2,-y+1/2,z'
loop_
_atom_site_label
_atom_site_type_symbol
_atom_site_fract_x
_atom_site_fract_y
_atom_site_fract_z
La1 La 0.0362 0.0000 0.2622
La2 La 0.1407 0.5000 0.7986
Pm1 Pm 0.0000 0.5000 0.0000
Pm2 Pm 0.0955 0.0000 0.5410
Pm3 Pm 0.1779 0.0000 0.0711
Pr1 Pr 0.2154 0.5000 0.3570
```

***

Material: LaPmPr4
Method: DFT, PBE-GGA
State: optimized geometry

## Properties
E above lowest polymorph in meV/atom: 232.2
N(E_F) in states/eV per atom: 1.458
Magnetization in μB per atom: 0.000

```
data_LaPmPr4
_chemical_formula_sum 'La4 Pm4 Pr16'
_symmetry_space_group_name_H-M 'C 1 2/m 1'
_symmetry_Int_Tables_number 12
_cell_length_a 16.5322
_cell_length_b 6.8954
_cell_length_c 8.7086
_cell_angle_alpha 90.00
_cell_angle_beta 113.90
_cell_angle_gamma 90.00
loop_
_symmetry_equiv_pos_as_xyz
'x,y,z'
'-x,-y,-z'
'-x,y,-z'
'x,-y,z'
'x+1/2,y+1/2,z'
'-x+1/2,-y+1/2,-z'
'-x+1/2,y+1/2,-z'
'x+1/2,-y+1/2,z'
loop_
_atom_site_label
_atom_site_type_symbol
_atom_site_fract_x
_atom_site_fract_y
_atom_site_fract_z
La1 La 0.1285 0.0000 0.3665
Pm1 Pm 0.1566 0.5000 0.2966
Pr1 Pr 0.0000 0.2646 0.5000
Pr2 Pr 0.0830 0.2384 0.9275
Pr3 Pr 0.2085 0.5000 0.7451
```